Entry from Alexandria: a relaxed CeEuSn crystal (PBE).

Geometry as POSCAR:
```
CeEuSn
1.0
5.325 0.000 0.000
-2.662 4.611 0.000
0.000 0.000 3.387
Ce Eu Sn
1 1 1
Cartesian
0.000 0.000 0.000 Ce
2.662 1.537 0.000 Eu
0.000 3.074 1.694 Sn
```

Total DFT energy (no corrections), Ha/atom: -0.257
Formation energy, eV per atom: -0.2659
ΔE to the lowest computed polymorph, eV/atom: 0.1328